This record from the Alexandria database describes a relaxed structure of KSc2W. The functional is PBE-GGA.

The structure in CIF format:
```
data_KSc2W
_chemical_formula_sum 'K4 Sc8 W4'
_cell_length_a 7.142
_cell_length_b 7.142
_cell_length_c 7.142
_cell_angle_alpha 90.00
_cell_angle_beta 90.00
_cell_angle_gamma 90.00
_symmetry_space_group_name_H-M 'F m -3 m'
_symmetry_Int_Tables_number 225
_symmetry_space_group_name_Hall '-F 4 2 3'
loop_
_atom_site_label
_atom_site_type_symbol
_atom_site_fract_x
_atom_site_fract_y
_atom_site_fract_z
_atom_site_occupancy
K1 K 0.000 0.000 0.000 1
Sc1 Sc 0.250 0.250 0.250 1
W1 W 0.000 0.000 0.500 1
```

- ΔE to the lowest computed polymorph (eV per formula unit) = 2.454
- ΔH_f (0 K) (eV per formula unit) = 4.1
- DOS(E_F) (states/eV/cell) = 25.72
- crystal system = cubic
- E_tot (eV for the cell shown) = -90.35